The following is a PBE-GGA calculation of a geometry-optimized Li2CaZr structure, from the Alexandria database.

```
4
Lattice="6.3367 0.0253 0.0346 2.9487 5.6089 -0.0346 -3.8490 -4.1251 2.8852" Properties=species:S:1:pos:R:3 pbc="T T T"
Ca 1.8712 2.1505 1.4253
Li 9.2243 5.5972 0.0000
Li 4.7039 2.8542 0.0000
Zr 3.5652 -0.6414 1.4599
```

total magnetic moment = 0.41 μB/f.u.
density of states at the Fermi level = 4.7 states/eV/f.u.
energy relative to the elements = 0.436 eV/atom
excess energy over the best structure of this formula in the dataset = 69 kJ/mol of formula units

***

The following is a PBE-GGA calculation of a geometry-optimized BaTmHgPb structure, from the Alexandria database.

```
4
Lattice="5.6613 0.0000 0.0000 2.8307 4.9029 0.0000 2.8307 1.6343 4.6225" Properties=species:S:1:pos:R:3 pbc="T T T"
Pb 2.8307 1.6343 1.1556
Tm 0.0000 0.0000 0.0000
Hg 8.4920 4.9029 3.4668
Ba 5.6613 3.2686 2.3112
```

total magnetic moment = 0.00 μB/f.u.
density of states at the Fermi level = 3.5 states/eV/f.u.
energy relative to the elements = -0.358 eV/atom

***

The following is a PBE-GGA calculation of a geometry-optimized DySc2Be structure, from the Alexandria database.

```
4
Lattice="3.2422 0.0000 0.0000 0.0000 3.2422 0.0000 0.0000 0.0000 8.3224" Properties=species:S:1:pos:R:3 pbc="T T T"
Sc 0.0000 0.0000 6.7777
Sc 0.0000 0.0000 1.5447
Be 1.6211 1.6211 0.0000
Dy 1.6211 1.6211 4.1612
```

total magnetic moment = 0.00 μB/f.u.
density of states at the Fermi level = 4.1 states/eV/f.u.
energy relative to the elements = 0.029 eV/atom
excess energy over the best structure of this formula in the dataset = 0 kJ/mol of formula units

***

The following is a PBE-GGA calculation of a geometry-optimized Sb2PbCI structure, from the Alexandria database.

```
5
Lattice="-1.7980 -4.5662 -0.1360 4.0680 -1.6669 2.1849 -2.1971 0.7268 4.6453" Properties=species:S:1:pos:R:3 pbc="T T T"
Pb 0.0365 -2.7531 3.3471
I -1.0986 0.3634 2.3226
C 0.0000 0.0000 0.0000
Sb 2.0340 -0.8335 1.0925
Sb -0.8990 -2.2831 -0.0680
```

uncorrected formation energy = 0.935 eV/atom
total magnetic moment = 0.00 μB/f.u.
density of states at the Fermi level = 2.2 states/eV/f.u.
excess energy over the best structure of this formula in the dataset = 0 kJ/mol of formula units

***

The following is a PBE-GGA calculation of a geometry-optimized Cr4Rh structure, from the Alexandria database.

```
5
Lattice="-2.7179 2.7179 2.7179 2.7179 -2.7179 2.7179 2.7179 2.7179 -2.7179" Properties=species:S:1:pos:R:3 pbc="T T T"
Cr -1.3589 1.3589 1.3589
Cr 1.3589 1.3589 1.3589
Cr 1.3589 -1.3589 1.3589
Cr 1.3589 1.3589 -1.3589
Rh 0.0000 0.0000 0.0000
```

total magnetic moment = 2.42 μB/f.u.
density of states at the Fermi level = 8.3 states/eV/f.u.
energy relative to the elements = 1.468 eV/atom
excess energy over the best structure of this formula in the dataset = 400 kJ/mol of formula units

***

The following is a PBE-GGA calculation of a geometry-optimized LiPuCu2 structure, from the Alexandria database.

```
4
Lattice="2.4863 0.0000 0.0000 0.0000 2.4863 0.0000 0.0000 0.0000 9.0464" Properties=species:S:1:pos:R:3 pbc="T T T"
Li 1.2432 1.2432 0.0000
Cu 0.0000 0.0000 7.0373
Cu 0.0000 0.0000 2.0091
Pu 1.2432 1.2432 4.5232
```

total magnetic moment = 0.70 μB/f.u.
density of states at the Fermi level = 5.3 states/eV/f.u.
energy relative to the elements = 0.210 eV/atom
excess energy over the best structure of this formula in the dataset = 37 kJ/mol of formula units